Entry 1:
Here is crystalline LiY2BSb at its relaxed geometry from Alexandria. Energies are from PBE-GGA.

```
LiY2BSb
1.0
5.8148 0.0000 0.0000
0.0000 4.4315 0.0000
0.0000 0.0000 5.8148
Y B Sb Li
2 1 1 1
Direct
0.0000 0.0000 0.5000
0.5000 0.0000 0.0000
0.0000 0.5000 0.0000
0.0000 0.0000 0.0000
0.5000 0.5000 0.5000
```

Summary:
Energy (eV/atom): -4.4572

Entry 2:
Here is crystalline Y6MgPd at its relaxed geometry from Alexandria. Energies are from PBE-GGA.

```
Y6MgPd
1.0
-4.3658 3.8505 4.0566
-7.0330 -0.6039 -0.7810
-3.8702 -3.2860 5.1475
Y Pd Mg
6 1 1
Direct
0.7812 0.0322 0.7529
0.0329 0.4328 0.7529
0.9671 0.5672 0.2471
0.4328 0.7816 0.7528
0.2188 0.9678 0.2471
0.5672 0.2184 0.2472
0.0000 0.0000 0.0000
0.5000 0.5000 0.5000
```

Summary:
Energy (eV/atom): -5.6326
E_form (eV/atom): 0.06

Entry 3:
Here is crystalline CaTbGe4 at its relaxed geometry from Alexandria. Energies are from PBE-GGA.

```
CaTbGe4
1.0
-2.2703 -5.0025 1.4307
2.6758 -4.8213 -1.3494
2.4019 -3.1476 4.0681
Tb Ge Ca
1 4 1
Direct
0.2500 0.2500 0.2500
0.6246 0.6246 0.6246
0.6246 0.1263 0.6246
0.6246 0.6246 0.1263
0.1263 0.6246 0.6246
0.0000 0.0000 0.0000
```

Summary:
Energy (eV/atom): -4.5138
E_form (eV/atom): -0.33

Entry 4:
Here is crystalline AlSbTe2O at its relaxed geometry from Alexandria. Energies are from PBE-GGA.

```
AlSbTe2O
1.0
-2.4554 4.0645 -2.0670
0.0393 -2.3287 -4.6258
-4.6637 -2.2591 1.0977
Te Al O Sb
2 1 1 1
Direct
0.5000 0.0000 0.0000
0.0000 0.5000 0.0000
0.0000 0.0000 0.0000
0.5000 0.5000 0.5000
0.0000 0.0000 0.5000
```

Summary:
Energy (eV/atom): -2.9748

> The lowest energy belongs to which entry?

Y6MgPd